Crystalline Rb2H6IrPb at its relaxed geometry, computed with PBE-GGA.

Computed properties:
Calculated total energy ... -36.052 eV/cell
ρ ... 4.876 g/cm³
Calculated volume ... 196 Å³ per cell

Lattice parameters (Å, degrees): 5.9805 5.9805 6.3368 90.00 90.00 120.00
Space group P-3m1 (No. 164)
Symmetry-distinct sites (fractional):
Rb: 0.3333 0.6667 0.1669 [2 per cell]
H: 0.1322 0.2645 0.8415 [6 per cell]
Ir: 0.0000 0.0000 0.0000 [1 per cell]
Pb: 0.0000 0.0000 0.5000 [1 per cell]

=====

Crystalline H6IrRhPb2 at its relaxed geometry, computed with PBE-GGA.

Computed properties:
Calculated total energy ... -171.510 eV/cell
ρ ... 11.117 g/cm³
Calculated volume ... 428 Å³ per cell

Lattice parameters (Å, degrees): 7.491 7.535 7.575 90.00 90.00 90.00
Space group Fmmm (No. 69)
Symmetry-distinct sites (fractional):
H: 0.000 0.000 0.241 [8 per cell]
H: 0.000 0.242 0.000 [8 per cell]
H: 0.244 0.000 0.000 [8 per cell]
Ir: 0.000 0.000 0.000 [4 per cell]
Rh: 0.000 0.000 0.500 [4 per cell]
Pb: 0.250 0.250 0.250 [8 per cell]

=====

Crystalline HIrRh2Pb at its relaxed geometry, computed with PBE-GGA.

Computed properties:
Calculated total energy ... -30.306 eV/cell
ρ ... 14.880 g/cm³
Calculated volume ... 68 Å³ per cell

Lattice parameters (Å, degrees): 4.090 4.090 4.044 90.00 90.00 90.00
Space group P4/mmm (No. 123)
Symmetry-distinct sites (fractional):
H: 0.000 0.000 0.000 [1 per cell]
Ir: 0.000 0.000 0.500 [1 per cell]
Rh: 0.000 0.500 0.000 [2 per cell]
Pb: 0.500 0.500 0.500 [1 per cell]

=====

Crystalline ScHIrPb2 at its relaxed geometry, computed with PBE-GGA.

Computed properties:
Calculated total energy ... -25.305 eV/cell
ρ ... 12.092 g/cm³
Calculated volume ... 90 Å³ per cell

Lattice parameters (Å, degrees): 4.706 4.706 4.046 90.00 90.00 90.00
Space group P4/mmm (No. 123)
Symmetry-distinct sites (fractional):
Sc: 0.000 0.000 0.000 [1 per cell]
H: 0.000 0.000 0.500 [1 per cell]
Ir: 0.500 0.500 0.000 [1 per cell]
Pb: 0.000 0.500 0.500 [2 per cell]

=====

Crystalline SmH8Ir2Pb at its relaxed geometry, computed with PBE-GGA.

Computed properties:
Calculated total energy ... -159.234 eV/cell
ρ ... 9.851 g/cm³
Calculated volume ... 379 Å³ per cell

Lattice parameters (Å, degrees): 4.9789 4.9789 17.6678 90.00 90.00 120.00
Space group R-3m (No. 166, hexagonal axes)
Symmetry-distinct sites (fractional):
Sm: 0.0000 0.0000 0.0000 [3 per cell]
H: 0.0000 0.0000 0.3242 [6 per cell]
H: 0.0500 0.5250 0.5580 [18 per cell]
Ir: 0.0000 0.0000 0.2329 [6 per cell]
Pb: 0.0000 0.0000 0.5000 [3 per cell]

=====

Crystalline SmH6Ir2Pb at its relaxed geometry, computed with PBE-GGA.

Computed properties:
Calculated total energy ... -192.193 eV/cell
ρ ... 10.987 g/cm³
Calculated volume ... 452 Å³ per cell

Lattice parameters (Å, degrees): 8.261 9.830 5.711 90.00 102.80 90.00
Space group C2/c (No. 15)
Symmetry-distinct sites (fractional):
Sm: 0.000 0.145 0.250 [4 per cell]
H: 0.111 0.373 0.186 [8 per cell]
H: 0.177 0.003 0.559 [8 per cell]
H: 0.197 0.242 0.603 [8 per cell]
Ir: 0.188 0.127 0.806 [8 per cell]
Pb: 0.000 0.386 0.750 [4 per cell]